# Tm5InTe4 (PBE-GGA, relaxed)
# **Magnetic moment**: 0.000 μB per atom
# **Symmetry**: No. 79
# **Raw formation energy**: -102 kJ/mol of atoms
# **Final energy**: -4.822 eV per atom
data_Tm5InTe4
_chemical_formula_sum 'Tm5 In1 Te4'
_space_group_name_H-M_alt 'P 1'
_space_group_IT_number 1
_space_group_name_Hall 'P 1'
_cell_length_a 7.497
_cell_length_b 7.497
_cell_length_c 7.497
_cell_angle_alpha 99.52
_cell_angle_beta 99.52
_cell_angle_gamma 132.00
loop_
_atom_site_label
_atom_site_fract_x
_atom_site_fract_y
_atom_site_fract_z
Tm1 0.000 0.000 0.000
Tm2 0.213 0.403 0.613
Tm3 0.403 0.790 0.190
Tm4 0.600 0.213 0.810
Tm5 0.790 0.600 0.387
In1 0.500 0.500 0.000
Te1 0.096 0.698 0.791
Te2 0.305 0.096 0.399
Te3 0.698 0.906 0.601
Te4 0.906 0.305 0.209